(1)
The following is a DFT calculation (PBE-GGA) of a relaxed structure of Ca2GaIrO6.

```
data_Ca2GaIrO6
_chemical_formula_sum 'Ca4 Ga2 Ir2 O12'
_cell_length_a 5.4131
_cell_length_b 5.5613
_cell_length_c 9.4135
_cell_angle_alpha 90.00
_cell_angle_beta 125.04
_cell_angle_gamma 90.00
_space_group_name_H-M_alt 'P 1'
_space_group_IT_number 1
loop_
_space_group_symop_operation_xyz
'x,y,z'
loop_
_atom_site_label
_atom_site_type_symbol
_atom_site_fract_x
_atom_site_fract_y
_atom_site_fract_z
Ca1 Ca 0.2381 0.0546 0.2512
Ca2 Ca 0.2381 0.4454 0.7512
Ca3 Ca 0.7619 0.5546 0.2488
Ca4 Ca 0.7619 0.9454 0.7488
Ga1 Ga 0.5000 0.0000 0.0000
Ga2 Ga 0.5000 0.5000 0.5000
Ir1 Ir 0.0000 0.0000 0.5000
Ir2 Ir 0.0000 0.5000 0.0000
O1 O 0.1500 0.2046 0.9507
O2 O 0.1500 0.2954 0.4507
O3 O 0.2510 0.7026 0.9528
O4 O 0.2510 0.7974 0.4528
O5 O 0.3429 0.0270 0.7500
O6 O 0.3429 0.4730 0.2500
O7 O 0.6571 0.5270 0.7500
O8 O 0.6571 0.9730 0.2500
O9 O 0.7490 0.2026 0.5472
O10 O 0.7490 0.2974 0.0472
O11 O 0.8500 0.7046 0.5493
O12 O 0.8500 0.7954 0.0493
```

Summary:
space-group type	P2_1/c
D(E_F)	12.03	states/eV per cell
formation energy (no corrections)	-1.92	eV/atom
total magnetic moment	3.7	Bohr magnetons per cell



(2)
The following is a DFT calculation (PBE-GGA) of a relaxed structure of AcNdPuO6.

```
data_AcNdPuO6
_chemical_formula_sum 'Ac2 Nd2 Pu2 O12'
_cell_length_a 5.9790
_cell_length_b 5.9790
_cell_length_c 10.0959
_cell_angle_alpha 90.00
_cell_angle_beta 90.00
_cell_angle_gamma 120.00
_space_group_name_H-M_alt 'P 1'
_space_group_IT_number 1
loop_
_space_group_symop_operation_xyz
'x,y,z'
loop_
_atom_site_label
_atom_site_type_symbol
_atom_site_fract_x
_atom_site_fract_y
_atom_site_fract_z
Ac1 Ac 0.0000 0.0000 0.0000
Ac2 Ac 0.0000 0.0000 0.5000
Nd1 Nd 0.3333 0.6667 0.2500
Nd2 Nd 0.6667 0.3333 0.7500
Pu1 Pu 0.3333 0.6667 0.7500
Pu2 Pu 0.6667 0.3333 0.2500
O1 O 0.0369 0.3755 0.6392
O2 O 0.0369 0.6614 0.8608
O3 O 0.3386 0.3755 0.8608
O4 O 0.3386 0.9631 0.6392
O5 O 0.3755 0.0369 0.1392
O6 O 0.3755 0.3386 0.3608
O7 O 0.6245 0.6614 0.6392
O8 O 0.6245 0.9631 0.8608
O9 O 0.6614 0.0369 0.3608
O10 O 0.6614 0.6245 0.1392
O11 O 0.9631 0.3386 0.1392
O12 O 0.9631 0.6245 0.3608
```

Summary:
space-group type	P-31c
D(E_F)	15.75	states/eV per cell
formation energy (no corrections)	-3.02	eV/atom
total magnetic moment	4.0	Bohr magnetons per cell